{"formula": "Ba2MnIrPd", "functional": "PBE-GGA", "state": "relaxed", "formation_enthalpy_0k_ev_per_atom": 0.500, "sg": "P4/mmm", "magnetic_moment_mub_per_fu": 4.6, "e_tot_ha_per_atom": -0.181, "lattice_angstrom": [[6.076, 0.000, 0.000], [0.000, 6.076, 0.000], [0.000, 0.000, 4.879]], "species": ["Ba", "Ba", "Mn", "Ir", "Pd"], "frac_coords": [[0.000, 0.500, 0.000], [0.500, 0.000, 0.000], [0.000, 0.000, 0.500], [0.500, 0.500, 0.000], [0.500, 0.500, 0.500]]}